1.
DFT (PBE-GGA) results for Na2Mg2Pd after structural relaxation.

Geometry as POSCAR:
```
Na2Mg2Pd
1.0
6.8723 0.0000 0.0000
0.0000 6.8723 0.0000
0.0000 0.0000 5.4577
Na Mg Pd
4 4 2
direct
0.1780 0.3220 0.0000
0.3220 0.8220 0.0000
0.6780 0.1780 0.0000
0.8220 0.6780 0.0000
0.1598 0.6598 0.5000
0.3402 0.1598 0.5000
0.6598 0.8402 0.5000
0.8402 0.3402 0.5000
0.0000 0.0000 0.5000
0.5000 0.5000 0.5000
```

Properties
Energy above the lowest structure with this stoichiometry = 0.000 eV per atom
DOS at the Fermi energy = 4.80 states/eV per cell
Energy of formation from the pure elements = -0.07 eV/atom
V = 257.76 Å³/cell
M_tot = 0.0 μB/f.u.

=====

2.
DFT (PBE-GGA) results for Ac3Ga3Rh after structural relaxation.

Geometry as POSCAR:
```
Ac3Ga3Rh
1.0
9.2233 0.0000 0.0000
-4.6116 7.9876 0.0000
0.0000 0.0000 6.3512
Ac Ga Rh
6 6 2
direct
0.0964 0.7074 0.2500
0.2926 0.3890 0.2500
0.3890 0.0964 0.7500
0.6110 0.9036 0.2500
0.7074 0.6110 0.7500
0.9036 0.2926 0.7500
0.0959 0.7055 0.7500
0.2945 0.3904 0.7500
0.3904 0.0959 0.2500
0.6096 0.9041 0.7500
0.7055 0.6096 0.2500
0.9041 0.2945 0.2500
0.3333 0.6667 0.7500
0.6667 0.3333 0.2500
```

Properties
Energy above the lowest structure with this stoichiometry = 0.372 eV per atom
DOS at the Fermi energy = 14.35 states/eV per cell
Energy of formation from the pure elements = -0.22 eV/atom
V = 467.90 Å³/cell
M_tot = 0.0 μB/f.u.

=====

3.
DFT (PBE-GGA) results for HfVHg2Mo after structural relaxation.

Geometry as POSCAR:
```
HfVHg2Mo
1.0
5.1182 0.0000 0.0000
0.0000 5.1182 0.0000
0.0000 0.0000 4.5460
Hf V Hg Mo
1 1 2 1
direct
0.0000 0.0000 0.0000
0.0000 0.0000 0.5000
0.0000 0.5000 0.5000
0.5000 0.0000 0.5000
0.5000 0.5000 0.0000
```

Properties
DOS at the Fermi energy = 6.78 states/eV per cell
Energy of formation from the pure elements = 1.40 eV/atom
V = 119.09 Å³/cell
M_tot = 3.7 μB/f.u.

=====

4.
DFT (PBE-GGA) results for LiSnSb3 after structural relaxation.

Geometry as POSCAR:
```
LiSnSb3
1.0
5.0921 0.0000 0.0000
0.0000 5.0921 0.0000
0.0000 0.0000 5.0921
Li Sn Sb
1 1 3
direct
0.0000 0.0000 0.0000
0.5000 0.5000 0.5000
0.0000 0.0000 0.5000
0.0000 0.5000 0.0000
0.5000 0.0000 0.0000
```

Properties
Formation energy without anion corrections = 0.2955 eV per atom
Energy above the lowest structure with this stoichiometry = 0.000 eV per atom
DOS at the Fermi energy = 3.06 states/eV per cell
V = 132.03 Å³/cell
M_tot = 0.0 μB/f.u.

=====

5.
DFT (PBE-GGA) results for NdPu2WN4 after structural relaxation.

Geometry as POSCAR:
```
NdPu2WN4
1.0
1.7082 -5.9439 0.0000
1.7082 5.9439 0.0000
0.0000 0.0000 11.8761
Nd Pu W N
2 4 2 8
direct
0.1035 0.8965 0.7500
0.8965 0.1035 0.2500
0.3689 0.6311 0.5420
0.3689 0.6311 0.9580
0.6311 0.3689 0.0420
0.6311 0.3689 0.4580
0.1571 0.8429 0.2500
0.8429 0.1571 0.7500
0.0000 0.0000 0.0000
0.0000 0.0000 0.5000
0.2638 0.7362 0.1227
0.2638 0.7362 0.3773
0.4453 0.5547 0.7500
0.5547 0.4453 0.2500
0.7362 0.2638 0.6227
0.7362 0.2638 0.8773
```

Properties
Formation energy without anion corrections = -0.9294 eV per atom
DOS at the Fermi energy = 22.28 states/eV per cell
V = 241.16 Å³/cell
M_tot = 9.3 μB/f.u.

=====

6.
DFT (PBE-GGA) results for NdZn2Pd8 after structural relaxation.

Geometry as POSCAR:
```
NdZn2Pd8
1.0
5.3702 0.0000 0.0000
0.0000 5.3702 0.0000
0.0000 0.0000 7.9527
Nd Zn Pd
1 2 8
direct
0.0000 0.0000 0.0000
0.0000 0.5000 0.5000
0.5000 0.0000 0.5000
0.2531 0.2531 0.2764
0.2531 0.2531 0.7236
0.2531 0.7469 0.2764
0.2531 0.7469 0.7236
0.7469 0.2531 0.2764
0.7469 0.2531 0.7236
0.7469 0.7469 0.2764
0.7469 0.7469 0.7236
```

Properties
DOS at the Fermi energy = 6.86 states/eV per cell
Energy of formation from the pure elements = -0.04 eV/atom
V = 229.34 Å³/cell
M_tot = 0.0 μB/f.u.

=====

7.
DFT (PBE-GGA) results for Mg3InSn2 after structural relaxation.

Geometry as POSCAR:
```
Mg3InSn2
1.0
7.2815 -3.0638 0.0000
7.2815 3.0638 0.0000
-1.6065 0.0000 6.6281
Mg In Sn
6 2 4
direct
0.2305 0.7695 0.7500
0.3324 0.3316 0.4187
0.3316 0.3324 0.9187
0.6684 0.6676 0.0813
0.6676 0.6684 0.5813
0.7695 0.2305 0.2500
0.2820 0.7180 0.2500
0.7180 0.2820 0.7500
0.1534 0.1546 0.5818
0.1546 0.1534 0.0818
0.8454 0.8466 0.9182
0.8466 0.8454 0.4182
```

Properties
Energy above the lowest structure with this stoichiometry = 0.032 eV per atom
DOS at the Fermi energy = 4.67 states/eV per cell
Energy of formation from the pure elements = -0.08 eV/atom
V = 295.73 Å³/cell
M_tot = 0.0 μB/f.u.

=====

8.
DFT (PBE-GGA) results for BaTlCu2 after structural relaxation.

Geometry as POSCAR:
```
BaTlCu2
1.0
3.4586 0.0000 0.0000
0.0000 3.4586 0.0000
0.0000 0.0000 7.8854
Ba Tl Cu
1 1 2
direct
0.0000 0.0000 0.0000
0.5000 0.5000 0.6394
0.0000 0.0000 0.4112
0.5000 0.5000 0.2940
```

Properties
DOS at the Fermi energy = 2.06 states/eV per cell
Energy of formation from the pure elements = 0.14 eV/atom
V = 94.33 Å³/cell
M_tot = 0.0 μB/f.u.